A plane-wave DFT calculation with GGA-PBE was carried out for a relaxed structure of Pr4Sm5Tm.

```
data_Pr4Sm5Tm
_cell_length_a 10.635
_cell_length_b 10.635
_cell_length_c 6.208
_cell_angle_alpha 90.00
_cell_angle_beta 90.00
_cell_angle_gamma 90.00
_symmetry_space_group_name_H-M 'I 4 m m'
_symmetry_Int_Tables_number 107
_symmetry_space_group_name_Hall 'I 4 -2'
loop_
_atom_site_label
_atom_site_fract_x
_atom_site_fract_y
_atom_site_fract_z
_atom_site_occupancy
Pr1 0.000 0.324 0.000 1
Sm1 0.000 0.000 0.740 1
Sm2 0.188 0.188 0.465 1
Tm1 0.000 0.000 0.209 1
```

## Properties
The volume comes out at 35.1 Å³ per atom. The energy of formation from the pure elements comes out at 219 meV/atom. As for the excess energy over the best structure of this formula in the dataset: 4.3 kJ per mole of atoms. The calculation puts the total magnetization at 0.000 μB/atom.


A plane-wave DFT calculation with GGA-PBE was carried out for a relaxed structure of Pr2Sm5Tm2.

```
data_Pr2Sm5Tm2
_cell_length_a 12.902
_cell_length_b 8.610
_cell_length_c 11.075
_cell_angle_alpha 90.00
_cell_angle_beta 90.00
_cell_angle_gamma 90.00
_symmetry_space_group_name_H-M 'I m a 2'
_symmetry_Int_Tables_number 46
_symmetry_space_group_name_Hall 'I 2 -2a'
loop_
_atom_site_label
_atom_site_fract_x
_atom_site_fract_y
_atom_site_fract_z
_atom_site_occupancy
Pr1 0.000 0.000 0.000 1
Pr2 0.250 0.107 0.135 1
Sm1 0.081 0.687 0.749 1
Sm2 0.131 0.061 0.747 1
Sm3 0.250 0.743 0.992 1
Tm1 0.112 0.119 0.446 1
```

## Properties
The volume comes out at 34.2 Å³ per atom. The energy of formation from the pure elements comes out at 201 meV/atom. As for the excess energy over the best structure of this formula in the dataset: 0.0 kJ per mole of atoms. The calculation puts the total magnetization at 0.000 μB/atom.


A plane-wave DFT calculation with GGA-PBE was carried out for a relaxed structure of Pr4SmTm4.

```
data_Pr4SmTm4
_cell_length_a 10.835
_cell_length_b 10.835
_cell_length_c 5.076
_cell_angle_alpha 90.00
_cell_angle_beta 90.00
_cell_angle_gamma 90.00
_symmetry_space_group_name_H-M 'I 4/m m m'
_symmetry_Int_Tables_number 139
_symmetry_space_group_name_Hall '-I 4 2'
loop_
_atom_site_label
_atom_site_fract_x
_atom_site_fract_y
_atom_site_fract_z
_atom_site_occupancy
Pr1 0.000 0.329 0.000 1
Sm1 0.000 0.000 0.000 1
Tm1 0.166 0.166 0.500 1
```

## Properties
The volume comes out at 33.1 Å³ per atom. The energy of formation from the pure elements comes out at 24 meV/atom. The calculation puts the total magnetization at 0.000 μB/atom.


A plane-wave DFT calculation with GGA-PBE was carried out for a relaxed structure of Pr5Sm4Tm.

```
data_Pr5Sm4Tm
_cell_length_a 10.601
_cell_length_b 10.601
_cell_length_c 6.263
_cell_angle_alpha 90.00
_cell_angle_beta 90.00
_cell_angle_gamma 90.00
_symmetry_space_group_name_H-M 'I 4'
_symmetry_Int_Tables_number 79
_symmetry_space_group_name_Hall 'I 4'
loop_
_atom_site_label
_atom_site_fract_x
_atom_site_fract_y
_atom_site_fract_z
_atom_site_occupancy
Pr1 0.000 0.000 0.000 1
Pr2 0.188 0.811 0.279 1
Sm1 0.000 0.325 0.744 1
Tm1 0.000 0.000 0.535 1
```

## Properties
The volume comes out at 35.2 Å³ per atom. The energy of formation from the pure elements comes out at 235 meV/atom. As for the excess energy over the best structure of this formula in the dataset: 21.0 kJ per mole of atoms. The calculation puts the total magnetization at 0.000 μB/atom.


A plane-wave DFT calculation with GGA-PBE was carried out for a relaxed structure of Pr3Sm2Tm2.

```
data_Pr3Sm2Tm2
_cell_length_a 17.780
_cell_length_b 3.544
_cell_length_c 8.620
_cell_angle_alpha 90.00
_cell_angle_beta 118.65
_cell_angle_gamma 90.00
_symmetry_space_group_name_H-M 'C 1 2/m 1'
_symmetry_Int_Tables_number 12
_symmetry_space_group_name_Hall '-C 2y'
loop_
_atom_site_label
_atom_site_fract_x
_atom_site_fract_y
_atom_site_fract_z
_atom_site_occupancy
Pr1 0.000 0.000 0.000 1
Pr2 0.214 0.000 0.294 1
Sm1 0.065 0.500 0.412 1
Tm1 0.145 0.000 0.828 1
```

## Properties
The volume comes out at 34.0 Å³ per atom. The energy of formation from the pure elements comes out at 118 meV/atom. As for the excess energy over the best structure of this formula in the dataset: 9.7 kJ per mole of atoms. The calculation puts the total magnetization at 0.000 μB/atom.


A plane-wave DFT calculation with GGA-PBE was carried out for a relaxed structure of Pr2Sm9Tm.

```
data_Pr2Sm9Tm
_cell_length_a 11.4741
_cell_length_b 11.4741
_cell_length_c 3.5379
_cell_angle_alpha 90.00
_cell_angle_beta 90.00
_cell_angle_gamma 120.00
_symmetry_space_group_name_H-M 'P 6/m m m'
_symmetry_Int_Tables_number 191
_symmetry_space_group_name_Hall '-P 6 2'
loop_
_atom_site_label
_atom_site_fract_x
_atom_site_fract_y
_atom_site_fract_z
_atom_site_occupancy
Pr1 0.3333 0.6667 0.0000 1
Sm1 0.0000 0.5000 0.0000 1
Sm2 0.1710 0.3420 0.5000 1
Tm1 0.0000 0.0000 0.0000 1
```

## Properties
The volume comes out at 33.6 Å³ per atom. The energy of formation from the pure elements comes out at 57 meV/atom. As for the excess energy over the best structure of this formula in the dataset: 3.7 kJ per mole of atoms. The calculation puts the total magnetization at 0.000 μB/atom.


A plane-wave DFT calculation with GGA-PBE was carried out for a relaxed structure of PrSm4Tm7.

```
data_PrSm4Tm7
_cell_length_a 6.216
_cell_length_b 7.172
_cell_length_c 8.826
_cell_angle_alpha 90.03
_cell_angle_beta 103.70
_cell_angle_gamma 90.09
_symmetry_space_group_name_H-M 'P -1'
_symmetry_Int_Tables_number 2
_symmetry_space_group_name_Hall '-P 1'
loop_
_atom_site_label
_atom_site_fract_x
_atom_site_fract_y
_atom_site_fract_z
_atom_site_occupancy
Pr1 0.000 0.000 0.000 1
Sm1 0.222 0.500 0.668 1
Sm2 0.280 0.750 0.336 1
Tm1 0.000 0.500 0.000 1
Tm2 0.222 0.000 0.667 1
Tm3 0.278 0.249 0.333 1
Tm4 0.500 0.248 0.001 1
```

## Properties
The volume comes out at 31.9 Å³ per atom. The energy of formation from the pure elements comes out at 9 meV/atom. As for the excess energy over the best structure of this formula in the dataset: 0.0 kJ per mole of atoms. The calculation puts the total magnetization at 0.000 μB/atom.


A plane-wave DFT calculation with GGA-PBE was carried out for a relaxed structure of Pr4SmTm5.

```
data_Pr4SmTm5
_cell_length_a 3.617
_cell_length_b 3.617
_cell_length_c 25.028
_cell_angle_alpha 90.00
_cell_angle_beta 90.00
_cell_angle_gamma 90.00
_symmetry_space_group_name_H-M 'P 4/m m m'
_symmetry_Int_Tables_number 123
_symmetry_space_group_name_Hall '-P 4 2'
loop_
_atom_site_label
_atom_site_fract_x
_atom_site_fract_y
_atom_site_fract_z
_atom_site_occupancy
Pr1 0.000 0.000 0.100 1
Pr2 0.000 0.000 0.301 1
Sm1 0.000 0.000 0.500 1
Tm1 0.500 0.500 0.000 1
Tm2 0.500 0.500 0.201 1
Tm3 0.500 0.500 0.402 1
```

## Properties
The volume comes out at 32.7 Å³ per atom. The energy of formation from the pure elements comes out at 21 meV/atom. As for the excess energy over the best structure of this formula in the dataset: 0.0 kJ per mole of atoms. The calculation puts the total magnetization at 0.000 μB/atom.


A plane-wave DFT calculation with GGA-PBE was carried out for a relaxed structure of PrSm6Tm2.

```
data_PrSm6Tm2
_cell_length_a 18.731
_cell_length_b 3.613
_cell_length_c 8.826
_cell_angle_alpha 90.00
_cell_angle_beta 90.35
_cell_angle_gamma 90.00
_symmetry_space_group_name_H-M 'C 1 2/m 1'
_symmetry_Int_Tables_number 12
_symmetry_space_group_name_Hall '-C 2y'
loop_
_atom_site_label
_atom_site_fract_x
_atom_site_fract_y
_atom_site_fract_z
_atom_site_occupancy
Pr1 0.000 0.000 0.000 1
Sm1 0.110 0.000 0.664 1
Sm2 0.167 0.500 0.999 1
Sm3 0.221 0.000 0.335 1
Tm1 0.055 0.500 0.335 1
```

## Properties
The volume comes out at 33.2 Å³ per atom. The energy of formation from the pure elements comes out at 18 meV/atom. As for the excess energy over the best structure of this formula in the dataset: 0.0 kJ per mole of atoms. The calculation puts the total magnetization at 0.000 μB/atom.


A plane-wave DFT calculation with GGA-PBE was carried out for a relaxed structure of PrSm2Tm12.

```
data_PrSm2Tm12
_cell_length_a 7.068
_cell_length_b 11.141
_cell_length_c 23.964
_cell_angle_alpha 90.00
_cell_angle_beta 94.24
_cell_angle_gamma 90.00
_symmetry_space_group_name_H-M 'C 1 2/m 1'
_symmetry_Int_Tables_number 12
_symmetry_space_group_name_Hall '-C 2y'
loop_
_atom_site_label
_atom_site_fract_x
_atom_site_fract_y
_atom_site_fract_z
_atom_site_occupancy
Pr1 0.249 0.000 0.000 1
Sm1 0.070 0.000 0.283 1
Sm2 0.070 0.500 0.283 1
Tm1 0.017 0.251 0.068 1
Tm2 0.034 0.000 0.138 1
Tm3 0.034 0.500 0.138 1
Tm4 0.111 0.250 0.445 1
Tm5 0.143 0.000 0.572 1
Tm6 0.144 0.500 0.572 1
Tm7 0.168 0.250 0.669 1
Tm8 0.202 0.250 0.807 1
```

## Properties
The volume comes out at 31.4 Å³ per atom. The energy of formation from the pure elements comes out at 109 meV/atom. The calculation puts the total magnetization at 0.000 μB/atom.


A plane-wave DFT calculation with GGA-PBE was carried out for a relaxed structure of Pr3SmTm.

```
data_Pr3SmTm
_cell_length_a 8.143
_cell_length_b 14.241
_cell_length_c 6.222
_cell_angle_alpha 90.00
_cell_angle_beta 90.00
_cell_angle_gamma 90.00
_symmetry_space_group_name_H-M 'C m c m'
_symmetry_Int_Tables_number 63
_symmetry_space_group_name_Hall '-C 2c 2'
loop_
_atom_site_label
_atom_site_fract_x
_atom_site_fract_y
_atom_site_fract_z
_atom_site_occupancy
Pr1 0.000 0.000 0.000 1
Pr2 0.200 0.397 0.250 1
Sm1 0.000 0.200 0.250 1
Tm1 0.000 0.328 0.750 1
```

## Properties
The volume comes out at 36.1 Å³ per atom. The energy of formation from the pure elements comes out at 334 meV/atom. As for the excess energy over the best structure of this formula in the dataset: 14.9 kJ per mole of atoms. The calculation puts the total magnetization at 0.000 μB/atom.


A plane-wave DFT calculation with GGA-PBE was carried out for a relaxed structure of PrSm8Tm6.

```
data_PrSm8Tm6
_cell_length_a 9.0423
_cell_length_b 9.0423
_cell_length_c 20.8294
_cell_angle_alpha 90.00
_cell_angle_beta 90.00
_cell_angle_gamma 120.00
_symmetry_space_group_name_H-M 'R -3'
_symmetry_Int_Tables_number 148
_symmetry_space_group_name_Hall '-R 3'
loop_
_atom_site_label
_atom_site_fract_x
_atom_site_fract_y
_atom_site_fract_z
_atom_site_occupancy
Pr1 0.0000 0.0000 0.0000 1
Sm1 0.0000 0.0000 0.4226 1
Sm2 0.0807 0.5572 0.8067 1
Tm1 0.0450 0.2414 0.7059 1
```

## Properties
The volume comes out at 32.8 Å³ per atom. The energy of formation from the pure elements comes out at 135 meV/atom. The calculation puts the total magnetization at 0.000 μB/atom.


For reference, DOS(E_F) by record: 1.372, 1.421, 1.441, 1.492, 1.562, 1.373, 1.373, 1.398, 1.445, 1.645, 0.799, 1.524 states/eV per atom.